Cd2GaRh2: single point on PBEsol structure, meta-GGA SCAN.

Properties
Formation energy (meV per atom): -392.0
Spin magnetization (μB per cell): 0.000

Cell lengths 6.3017, 6.3017, 4.2278 Å; angles 90.00, 90.00, 90.00 degrees
Closest atoms and distances in Å follow each position.
Space group P4/mbm (No. 127)
Asymmetric unit:
Cd (0.1616, 0.3384, 0.0000) [4 per cell]  6 Rh 2.73-2.86, 1 Cd 2.88
Ga (0.0000, 0.0000, 0.5000) [2 per cell]  4 Rh 2.42
Rh (0.1443, 0.6443, 0.5000) [4 per cell]  2 Ga 2.42, 1 Rh 2.57